Record 1
DFT (PBE) results for crystalline Pd2Se2Cl at its relaxed geometry.

Total moment, μB/cell: 0.00
DOS(E_F), states/eV/f.u.: 4.72
ΔE_f (raw), eV/atom: -0.0091

```
Pd2Se2Cl
1.0
-2.238 2.238 5.417
2.238 -2.238 5.417
2.238 2.238 -5.417
Pd Se Cl
2 2 1
direct
0.144 0.144 0.000
0.856 0.856 0.000
0.250 0.750 0.500
0.750 0.250 0.500
0.500 0.500 0.000
```

Record 2
DFT (PBE) results for crystalline LiYSn at its relaxed geometry.

Total moment, μB/cell: 0.00
DOS(E_F), states/eV/f.u.: 0.28
DFT formation energy, eV/f.u.: -1.6

```
LiYSn
1.0
4.988 0.000 0.000
-2.494 4.320 0.000
0.000 0.000 6.837
Li Y Sn
2 2 2
direct
0.000 0.000 0.000
0.333 0.667 0.137
0.333 0.667 0.678
0.667 0.333 0.334
0.000 0.000 0.443
0.667 0.333 0.881
```

Record 3
DFT (PBE) results for crystalline Rb3NdU3Se8 at its relaxed geometry.

Total moment, μB/cell: 8.00
DOS(E_F), states/eV/f.u.: 17.62
ΔE_f (raw), eV/atom: -1.3543

```
Rb3NdU3Se8
1.0
4.239 2.448 8.141
-4.239 2.448 8.141
0.000 -4.895 8.141
Rb Nd U Se
3 1 3 8
direct
0.000 0.500 0.500
0.500 0.000 0.500
0.500 0.500 0.000
0.500 0.500 0.500
0.000 0.000 0.500
0.000 0.500 0.000
0.500 0.000 0.000
0.223 0.737 0.737
0.232 0.232 0.232
0.263 0.263 0.777
0.263 0.777 0.263
0.737 0.223 0.737
0.737 0.737 0.223
0.768 0.768 0.768
0.777 0.263 0.263
```

Record 4
DFT (PBE) results for crystalline Y2Tm7Tc2 at its relaxed geometry.

Total moment, μB/cell: 0.01
DOS(E_F), states/eV/f.u.: 11.40
DFT formation energy, eV/f.u.: 0.7

```
Y2Tm7Tc2
1.0
-1.761 9.566 4.611
1.761 -9.566 4.611
1.761 9.566 -4.611
Y Tm Tc
2 7 2
direct
0.244 0.000 0.244
0.756 0.000 0.756
0.067 0.486 0.581
0.193 0.307 0.886
0.421 0.307 0.114
0.540 0.040 0.500
0.563 0.699 0.864
0.836 0.699 0.136
0.905 0.486 0.419
0.238 0.738 0.500
0.782 0.782 0.000
```